# 1
# U2Pt15Au2 (PBE-GGA, optimized geometry)
# - VASP energy: -6.450 eV/atom
# - Energy relative to the elements: -148 meV per atom
# - Magnetization: 0.0 μB per formula unit
data_U2Pt15Au2
_chemical_formula_sum 'U2 Pt15 Au2'
_space_group_name_H-M_alt 'P 1'
_space_group_IT_number 1
_cell_length_a 7.0438
_cell_length_b 7.0438
_cell_length_c 7.0438
_cell_angle_alpha 81.44
_cell_angle_beta 81.44
_cell_angle_gamma 81.44
loop_
_space_group_symop_operation_xyz
'x,y,z'
loop_
_atom_site_label
_atom_site_fract_x
_atom_site_fract_y
_atom_site_fract_z
_atom_site_occupancy
U1 0.0881 0.0881 0.0881 1
U2 0.9119 0.9119 0.9119 1
Pt1 0.0000 0.0000 0.5000 1
Pt2 0.0000 0.3227 0.6773 1
Pt3 0.0000 0.5000 0.0000 1
Pt4 0.0000 0.6773 0.3227 1
Pt5 0.1617 0.6583 0.6583 1
Pt6 0.3227 0.0000 0.6773 1
Pt7 0.3227 0.6773 0.0000 1
Pt8 0.3417 0.3417 0.8383 1
Pt9 0.3417 0.8383 0.3417 1
Pt10 0.5000 0.0000 0.0000 1
Pt11 0.6583 0.1617 0.6583 1
Pt12 0.6583 0.6583 0.1617 1
Pt13 0.6773 0.0000 0.3227 1
Pt14 0.6773 0.3227 0.0000 1
Pt15 0.8383 0.3417 0.3417 1
Au1 0.3504 0.3504 0.3504 1
Au2 0.6496 0.6496 0.6496 1



# 2
# UPt5Au2 (PBE-GGA, optimized geometry)
# - VASP energy: -6.355 eV/atom
# - Energy relative to the elements: -349 meV per atom
# - Magnetization: 1.2 μB per formula unit
data_UPt5Au2
_chemical_formula_sum 'U1 Pt5 Au2'
_space_group_name_H-M_alt 'P 1'
_space_group_IT_number 1
_cell_length_a 7.2401
_cell_length_b 6.7455
_cell_length_c 4.8881
_cell_angle_alpha 75.08
_cell_angle_beta 64.20
_cell_angle_gamma 40.72
loop_
_space_group_symop_operation_xyz
'x,y,z'
loop_
_atom_site_label
_atom_site_fract_x
_atom_site_fract_y
_atom_site_fract_z
_atom_site_occupancy
U1 0.0000 0.0000 0.0000 1
Pt1 0.1243 0.1243 0.3757 1
Pt2 0.3757 0.3757 0.1243 1
Pt3 0.5000 0.5000 0.5000 1
Pt4 0.6243 0.6243 0.8757 1
Pt5 0.8757 0.8757 0.6243 1
Au1 0.2570 0.2570 0.7430 1
Au2 0.7430 0.7430 0.2570 1



# 3
# U2PtAu (PBE-GGA, optimized geometry)
# - VASP energy: -8.162 eV/atom
# - Energy relative to the elements: -188 meV per atom
# - Magnetization: 5.4 μB per formula unit
data_U2PtAu
_chemical_formula_sum 'U2 Pt1 Au1'
_space_group_name_H-M_alt 'P 1'
_space_group_IT_number 1
_cell_length_a 5.0124
_cell_length_b 5.0124
_cell_length_c 5.0124
_cell_angle_alpha 120.13
_cell_angle_beta 120.13
_cell_angle_gamma 89.78
loop_
_space_group_symop_operation_xyz
'x,y,z'
loop_
_atom_site_label
_atom_site_fract_x
_atom_site_fract_y
_atom_site_fract_z
_atom_site_occupancy
U1 0.2500 0.7500 0.5000 1
U2 0.7500 0.2500 0.5000 1
Pt1 0.0000 0.0000 0.0000 1
Au1 0.5000 0.5000 0.0000 1